YMg2SnRh4 | Alexandria | PBE | relaxed; magnetic moment = 0.00 μB/cell; symmetry = R-3m, No. 166; E_form = -0.685 eV per atom
1.0
4.567 0.000 0.000
2.283 3.955 0.000
2.283 1.318 7.469
Mg Y Rh Sn
2 1 4 1
direct
0.250 0.250 0.251
0.750 0.750 0.749
0.000 0.000 0.000
0.620 0.620 0.140
0.129 0.129 0.614
0.380 0.380 0.860
0.871 0.871 0.386
0.500 0.500 0.500